7
Lattice="6.0521 -1.8276 0.0000 6.0521 1.8276 0.0000 -1.1297 0.0000 10.8973" Properties=species:S:1:pos:R:3 comment="Tb2Pm2Pr3, optimized geometry, DFT PBE-GGA" relative_energy_ev_per_atom=0.000 spacegroup="C2/m, No. 12" formation_enthalpy_0k_mev_per_atom=13 energy_ev_per_atom=-4.72 pbc="T T T"
Tb 0.5489 0.0000 3.1096
Tb 10.4257 0.0000 7.7877
Pm 1.6359 0.0000 9.3412
Pm 9.3386 0.0000 1.5562
Pr 3.8458 0.0000 4.6712
Pr 6.0521 0.0000 0.0000
Pr 7.1288 0.0000 6.2262